Entry from Alexandria via LeMat-Bulk: an optimized crystal structure of Sm12Sc5Ga3 (PBE-GGA).

Properties
DOS at the Fermi energy: 1.619 states/eV per atom
crystal system: cubic
uncorrected energy: -4.174 eV/atom
density: 5.41 g cm⁻³
volume: 34.33 Å³ per atom

a b c (Å): 15.280 15.280 15.280
angles (deg): 109.47 109.47 109.47
Each line ends with the local moment (μB).
Fractional coordinates of all 80 atoms:
Sm1 0.836 0.907 0.268  0.07
Sm2 0.664 0.432 0.571  0.07
Ga1 0.375 0.625 0.250  0.00
Sm3 0.768 0.432 0.361  0.07
Ga2 0.125 0.250 0.875  0.00
Sc1 0.250 0.375 0.625  -0.02
Sc2 0.375 0.250 0.125  -0.02
Sc3 0.250 0.875 0.125  -0.02
Sm4 0.568 0.232 0.139  0.07
Sm5 0.139 0.732 0.568  0.07
Ga3 0.750 0.875 0.625  0.00
Sm6 0.093 0.929 0.361  0.07
Sc4 0.500 0.000 0.000  0.35
Sc5 0.125 0.375 0.250  -0.02
Sc6 0.875 0.250 0.625  -0.02
Sm7 0.164 0.071 0.932  0.07
Sm8 0.929 0.093 0.861  0.07
Ga4 0.875 0.125 0.250  0.00
Ga5 0.750 0.375 0.125  0.00
Sc7 0.500 0.500 0.000  0.35
Sm9 0.068 0.429 0.836  0.07
Sc8 0.000 0.500 0.000  0.35
Sm10 0.432 0.664 0.071  0.07
Sm11 0.932 0.571 0.164  0.07
Sm12 0.336 0.768 0.407  0.07
Sm13 0.361 0.429 0.093  0.07
Sc9 0.625 0.875 0.250  -0.02
Sm14 0.268 0.861 0.932  0.07
Sm15 0.336 0.568 0.429  0.07
Sm16 0.593 0.732 0.664  0.07
Ga6 0.125 0.875 0.750  0.00
Ga7 0.250 0.125 0.375  0.00
Sm17 0.732 0.139 0.068  0.07
Sm18 0.593 0.861 0.429  0.07
Sm19 0.093 0.164 0.232  0.07
Sc10 0.000 0.000 0.500  0.35
Ga8 0.625 0.375 0.750  0.00
Sm20 0.861 0.268 0.432  0.07
Sm21 0.268 0.407 0.836  0.07
Sm22 0.571 0.932 0.664  0.07
Sc11 0.500 0.500 0.500  0.35
Sc12 0.000 0.000 0.000  0.35
Ga9 0.625 0.250 0.375  0.00
Sm23 0.639 0.571 0.907  0.07
Sc13 0.125 0.750 0.375  -0.02
Sm24 0.068 0.639 0.732  0.07
Sm25 0.932 0.361 0.268  0.07
Sm26 0.907 0.071 0.639  0.07
Sc14 0.875 0.625 0.750  -0.02
Sm27 0.407 0.268 0.336  0.07
Sc15 0.375 0.125 0.750  -0.02
Ga10 0.250 0.625 0.875  0.00
Sm28 0.432 0.768 0.861  0.07
Sm29 0.232 0.664 0.093  0.07
Sm30 0.164 0.093 0.732  0.07
Sc16 0.625 0.750 0.875  -0.02
Ga11 0.875 0.750 0.125  0.00
Sm31 0.639 0.068 0.232  0.07
Sm32 0.071 0.164 0.432  0.07
Sm33 0.929 0.836 0.568  0.07
Sm34 0.407 0.139 0.571  0.07
Sm35 0.361 0.932 0.768  0.07
Sm36 0.571 0.639 0.407  0.07
Sm37 0.664 0.232 0.593  0.07
Sm38 0.429 0.361 0.593  0.07
Sm39 0.139 0.407 0.071  0.07
Sm40 0.907 0.836 0.768  0.07
Sm41 0.836 0.929 0.068  0.07
Ga12 0.375 0.750 0.625  0.00
Sc17 0.500 0.000 0.500  0.35
Sm42 0.568 0.336 0.929  0.07
Sm43 0.768 0.336 0.907  0.07
Sm44 0.232 0.568 0.639  0.07
Sm45 0.861 0.593 0.929  0.07
Sm46 0.071 0.907 0.139  0.07
Sc18 0.750 0.125 0.875  -0.02
Sc19 0.000 0.500 0.500  0.35
Sm47 0.429 0.068 0.336  0.07
Sm48 0.732 0.593 0.164  0.07
Sc20 0.750 0.625 0.375  -0.02

Entry from Alexandria via LeMat-Bulk: an optimized crystal structure of SmSc3Ga4 (PBE-GGA).

Properties
DOS at the Fermi energy: 0.406 states/eV per atom
crystal system: orthorhombic
uncorrected energy: -5.047 eV/atom
density: 5.78 g cm⁻³
volume: 20.27 Å³ per atom

a b c (Å): 4.858 6.873 9.714
angles (deg): 90.00 90.00 90.00
Fractional coordinates of all 16 atoms:
Ga1 0.999 0.233 0.750
Ga2 0.999 0.767 0.750
Sc1 0.501 0.000 0.250
Ga3 0.001 0.767 0.250
Sc2 0.499 0.000 0.750
Sm1 0.000 0.500 0.500
Sc3 0.000 0.000 0.500
Ga4 0.500 0.767 0.500
Ga5 0.500 0.767 0.000
Sc4 0.000 0.000 0.000
Ga6 0.001 0.233 0.250
Ga7 0.500 0.233 0.000
Sc5 0.499 0.500 0.750
Sm2 0.000 0.500 0.000
Ga8 0.500 0.233 0.500
Sc6 0.501 0.500 0.250

Entry from Alexandria via LeMat-Bulk: an optimized crystal structure of SmScGa6 (PBE-GGA).

Properties
DOS at the Fermi energy: 0.282 states/eV per atom
crystal system: tetragonal
uncorrected energy: -4.165 eV/atom
density: 6.73 g cm⁻³
volume: 18.92 Å³ per atom

a b c (Å): 4.236 4.236 8.438
angles (deg): 90.00 90.00 90.00
Fractional coordinates of all 8 atoms:
Ga1 0.500 0.000 0.262
Ga2 0.500 0.000 0.738
Sm1 0.000 0.000 0.000
Sc1 0.000 0.000 0.500
Ga3 0.500 0.500 0.500
Ga4 0.000 0.500 0.738
Ga5 0.500 0.500 0.000
Ga6 0.000 0.500 0.262

Entry from Alexandria via LeMat-Bulk: an optimized crystal structure of Sm2ScGa2 (PBE-GGA).

Properties
DOS at the Fermi energy: 0.941 states/eV per atom
crystal system: monoclinic
uncorrected energy: -4.863 eV/atom
density: 6.40 g cm⁻³
volume: 25.16 Å³ per atom

a b c (Å): 4.473 6.303 9.815
angles (deg): 82.64 76.83 69.21
Fractional coordinates of all 10 atoms:
Ga1 0.128 0.315 0.429
Ga2 0.974 0.155 0.896
Sc1 0.213 0.944 0.630
Sc2 0.787 0.056 0.370
Sm1 0.520 0.646 0.315
Sm2 0.688 0.729 0.895
Sm3 0.480 0.354 0.685
Sm4 0.312 0.271 0.105
Ga3 0.872 0.685 0.571
Ga4 0.026 0.845 0.104

Entry from Alexandria via LeMat-Bulk: an optimized crystal structure of Sm3ScGa4 (PBE-GGA).

Properties
DOS at the Fermi energy: 0.382 states/eV per atom
crystal system: tetragonal
uncorrected energy: -4.652 eV/atom
density: 7.02 g cm⁻³
volume: 22.91 Å³ per atom

a b c (Å): 3.560 3.560 14.462
angles (deg): 90.00 90.00 90.00
Fractional coordinates of all 8 atoms:
Sc1 0.500 0.500 0.000
Ga1 0.000 0.000 0.369
Ga2 0.000 0.000 0.896
Ga3 0.000 0.000 0.104
Sm1 0.500 0.500 0.500
Sm2 0.500 0.500 0.238
Sm3 0.500 0.500 0.762
Ga4 0.000 0.000 0.631

Entry from Alexandria via LeMat-Bulk: an optimized crystal structure of TbSmScGa (PBE-GGA).

Properties
DOS at the Fermi energy: 1.356 states/eV per atom
crystal system: cubic
uncorrected energy: -4.823 eV/atom
density: 6.87 g cm⁻³
volume: 25.62 Å³ per atom

a b c (Å): 5.253 5.253 5.253
angles (deg): 60.00 60.00 60.00
Each line ends with the local moment (μB).
Fractional coordinates of all 4 atoms:
Ga1 0.750 0.750 0.750  -0.01
Tb1 0.000 0.000 0.000  0.21
Sm1 0.500 0.500 0.500  0.14
Sc1 0.250 0.250 0.250  0.37

Entry from Alexandria via LeMat-Bulk: an optimized crystal structure of SmYScGa (PBE-GGA).

Properties
DOS at the Fermi energy: 1.251 states/eV per atom
crystal system: cubic
uncorrected energy: -5.288 eV/atom
density: 5.74 g cm⁻³
volume: 25.61 Å³ per atom

a b c (Å): 5.252 5.252 5.252
angles (deg): 60.00 60.00 60.00
Each line ends with the local moment (μB).
Fractional coordinates of all 4 atoms:
Y1 0.750 0.750 0.750  0.18
Sm1 0.250 0.250 0.250  0.15
Ga1 0.000 0.000 0.000  -0.01
Sc1 0.500 0.500 0.500  0.41

Entry from Alexandria via LeMat-Bulk: an optimized crystal structure of SmSc2Zn2Ga2 (PBE-GGA).

Properties
DOS at the Fermi energy: 0.653 states/eV per atom
crystal system: trigonal
uncorrected energy: -4.128 eV/atom
density: 5.87 g cm⁻³
volume: 20.63 Å³ per atom

a b c (Å): 4.387 4.387 9.026
angles (deg): 75.93 75.93 60.00
Fractional coordinates of all 7 atoms:
Zn1 0.590 0.590 0.229
Ga1 0.747 0.747 0.759
Sc1 0.131 0.131 0.607
Zn2 0.410 0.410 0.771
Sm1 0.000 0.000 0.000
Ga2 0.253 0.253 0.241
Sc2 0.869 0.869 0.393

Entry from Alexandria via LeMat-Bulk: an optimized crystal structure of SmScZn2Ga2 (PBE-GGA).

Properties
DOS at the Fermi energy: 0.602 states/eV per atom
crystal system: trigonal
uncorrected energy: -3.835 eV/atom
density: 6.61 g cm⁻³
volume: 19.48 Å³ per atom

a b c (Å): 4.370 4.370 7.068
angles (deg): 90.00 90.00 120.00
Fractional coordinates of all 6 atoms:
Sc1 0.000 0.000 0.500
Zn1 0.333 0.667 0.289
Zn2 0.667 0.333 0.711
Sm1 0.000 0.000 0.000
Ga1 0.667 0.333 0.274
Ga2 0.333 0.667 0.726

Entry from Alexandria via LeMat-Bulk: an optimized crystal structure of SmScZnGa (PBE-GGA).

Properties
DOS at the Fermi energy: 0.902 states/eV per atom
crystal system: cubic
uncorrected energy: -4.300 eV/atom
density: 6.36 g cm⁻³
volume: 21.58 Å³ per atom

a b c (Å): 4.961 4.961 4.961
angles (deg): 60.00 60.00 60.00
Fractional coordinates of all 4 atoms:
Sc1 0.250 0.250 0.250
Ga1 0.000 0.000 0.000
Zn1 0.500 0.500 0.500
Sm1 0.750 0.750 0.750

Entry from Alexandria via LeMat-Bulk: an optimized crystal structure of Sc6Ga3Sn (PBE-GGA).

Properties
DOS at the Fermi energy: 0.956 states/eV per atom
crystal system: orthorhombic
uncorrected energy: -5.505 eV/atom
density: 4.46 g cm⁻³
volume: 22.26 Å³ per atom

a b c (Å): 6.472 8.525 8.525
angles (deg): 108.85 90.00 90.00
Fractional coordinates of all 20 atoms:
Sc1 0.600 0.237 0.312
Sc2 0.100 0.312 0.237
Ga1 0.450 0.988 0.730
Sc3 0.258 0.968 0.032
Sc4 0.600 0.688 0.763
Sc5 0.190 0.696 0.304
Sc6 0.758 0.032 0.968
Sc7 0.268 0.514 0.908
Sc8 0.768 0.486 0.092
Ga2 0.332 0.457 0.543
Sc9 0.268 0.092 0.486
Sn1 0.070 0.176 0.824
Ga3 0.950 0.730 0.988
Sc10 0.100 0.763 0.688
Sc11 0.690 0.304 0.696
Ga4 0.832 0.543 0.457
Sn2 0.570 0.824 0.176
Sc12 0.768 0.908 0.514
Ga5 0.950 0.012 0.270
Ga6 0.450 0.270 0.012

Entry from Alexandria via LeMat-Bulk: an optimized crystal structure of ScGa2Sn (PBE-GGA).

Properties
DOS at the Fermi energy: 0.726 states/eV per atom
crystal system: tetragonal
uncorrected energy: -4.261 eV/atom
density: 5.71 g cm⁻³
volume: 22.05 Å³ per atom

a b c (Å): 7.756 7.756 6.219
angles (deg): 51.42 51.42 90.00
Fractional coordinates of all 8 atoms:
Ga1 0.636 0.125 0.250
Ga2 0.875 0.886 0.750
Sn1 0.000 0.000 0.000
Sc1 0.500 0.500 0.000
Sn2 0.750 0.250 0.500
Ga3 0.114 0.625 0.250
Sc2 0.250 0.750 0.500
Ga4 0.375 0.364 0.750